1.
# K3Hg5O12

An optimized crystal structure of K3Hg5O12 (PBE, Alexandria via LeMat-Bulk).

```
data_K3Hg5O12
_symmetry_space_group_name_H-M 'I a -3 d'
_symmetry_Int_Tables_number 230
_symmetry_space_group_name_Hall '-I 4bd 2c 3'
_cell_length_a 13.994
_cell_length_b 13.994
_cell_length_c 13.994
_cell_angle_alpha 90.00
_cell_angle_beta 90.00
_cell_angle_gamma 90.00
loop_
_atom_site_label
_atom_site_fract_x
_atom_site_fract_y
_atom_site_fract_z
K1 0.000 0.250 0.125
Hg1 0.000 0.000 0.000
Hg2 0.000 0.250 0.375
O1 0.030 0.052 0.637
```

Summary:
For the uncorrected energy, the calculation gives -3.213 eV per atom. The formation energy from raw total energies comes out at 0.0024 eV/atom. For the total moment, the calculation gives 24.69 μB/cell.



2.
# CdNiRu2

An optimized crystal structure of CdNiRu2 (PBE, Alexandria via LeMat-Bulk).

```
data_CdNiRu2
_symmetry_space_group_name_H-M 'I -4 2 d'
_symmetry_Int_Tables_number 122
_symmetry_space_group_name_Hall 'I -4 2bw'
_cell_length_a 7.251
_cell_length_b 7.251
_cell_length_c 4.930
_cell_angle_alpha 90.00
_cell_angle_beta 90.00
_cell_angle_gamma 90.00
loop_
_atom_site_label
_atom_site_fract_x
_atom_site_fract_y
_atom_site_fract_z
Cd1 0.000 0.000 0.000
Ni1 0.000 0.000 0.500
Ru1 0.195 0.750 0.625
```

Summary:
For the uncorrected energy, the calculation gives -5.584 eV per atom. The formation energy from the elements is 0.73 eV/atom. For the total moment, the calculation gives 0.00 μB/cell.



3.
# ZrTa2Hg

An optimized crystal structure of ZrTa2Hg (PBE, Alexandria via LeMat-Bulk).

```
data_ZrTa2Hg
_symmetry_space_group_name_H-M 'P 1 2/m 1'
_symmetry_Int_Tables_number 10
_cell_length_a 2.948
_cell_length_b 5.064
_cell_length_c 5.372
_cell_angle_alpha 90.00
_cell_angle_beta 95.93
_cell_angle_gamma 90.00
loop_
_symmetry_equiv_pos_as_xyz
'x,y,z'
'-x,-y,-z'
'-x,y,-z'
'x,-y,z'
loop_
_atom_site_label
_atom_site_fract_x
_atom_site_fract_y
_atom_site_fract_z
Zr1 0.000 0.000 0.000
Ta1 0.277 0.500 0.765
Hg1 0.500 0.000 0.500
```

Summary:
For the uncorrected energy, the calculation gives -7.924 eV per atom. The formation energy from the elements is 0.21 eV/atom. For the total moment, the calculation gives 0.00 μB/cell.



4.
# Tl4CuTe3

An optimized crystal structure of Tl4CuTe3 (PBE, Alexandria via LeMat-Bulk).

```
data_Tl4CuTe3
_symmetry_space_group_name_H-M 'I 4/m c m'
_symmetry_Int_Tables_number 140
_symmetry_space_group_name_Hall '-I 4 2c'
_cell_length_a 7.591
_cell_length_b 7.591
_cell_length_c 17.902
_cell_angle_alpha 90.00
_cell_angle_beta 90.00
_cell_angle_gamma 90.00
loop_
_atom_site_label
_atom_site_fract_x
_atom_site_fract_y
_atom_site_fract_z
Tl1 0.155 0.345 0.148
Cu1 0.000 0.000 0.000
Te1 0.000 0.000 0.250
Te2 0.175 0.325 0.500
```

Summary:
For the uncorrected energy, the calculation gives -2.997 eV per atom. The formation energy from raw total energies comes out at -0.1235 eV/atom. As for the offset from the most stable computed form: 88 meV/atom. For the total moment, the calculation gives 0.00 μB/cell.



5.
# ZnBiTeSe2

An optimized crystal structure of ZnBiTeSe2 (PBE, Alexandria via LeMat-Bulk).

```
data_ZnBiTeSe2
_symmetry_space_group_name_H-M 'P 4/m m m'
_symmetry_Int_Tables_number 123
_symmetry_space_group_name_Hall '-P 4 2'
_cell_length_a 4.853
_cell_length_b 4.853
_cell_length_c 5.713
_cell_angle_alpha 90.00
_cell_angle_beta 90.00
_cell_angle_gamma 90.00
loop_
_atom_site_label
_atom_site_fract_x
_atom_site_fract_y
_atom_site_fract_z
Zn1 0.000 0.000 0.000
Bi1 0.000 0.000 0.500
Te1 0.500 0.500 0.500
Se1 0.000 0.500 0.000
```

Summary:
For the uncorrected energy, the calculation gives -2.727 eV per atom. The formation energy from raw total energies comes out at 0.3262 eV/atom. For the total moment, the calculation gives 0.00 μB/cell.



6.
# PrYHo2

An optimized crystal structure of PrYHo2 (PBE, Alexandria via LeMat-Bulk).

```
data_PrYHo2
_symmetry_space_group_name_H-M 'F m -3 m'
_symmetry_Int_Tables_number 225
_symmetry_space_group_name_Hall '-F 4 2 3'
_cell_length_a 8.081
_cell_length_b 8.081
_cell_length_c 8.081
_cell_angle_alpha 90.00
_cell_angle_beta 90.00
_cell_angle_gamma 90.00
loop_
_atom_site_label
_atom_site_fract_x
_atom_site_fract_y
_atom_site_fract_z
Pr1 0.000 0.000 0.000
Y1 0.000 0.000 0.500
Ho1 0.250 0.250 0.250
```

Summary:
For the uncorrected energy, the calculation gives -4.974 eV per atom. As for the offset from the most stable computed form: 117 meV/atom. The formation energy from the elements is 0.13 eV/atom. For the total moment, the calculation gives 0.00 μB/cell.



7.
# ZrAlHRh2

An optimized crystal structure of ZrAlHRh2 (PBE, Alexandria via LeMat-Bulk).

```
data_ZrAlHRh2
_symmetry_space_group_name_H-M 'P 4/m m m'
_symmetry_Int_Tables_number 123
_symmetry_space_group_name_Hall '-P 4 2'
_cell_length_a 4.098
_cell_length_b 4.098
_cell_length_c 3.987
_cell_angle_alpha 90.00
_cell_angle_beta 90.00
_cell_angle_gamma 90.00
loop_
_atom_site_label
_atom_site_fract_x
_atom_site_fract_y
_atom_site_fract_z
Zr1 0.000 0.000 0.000
Al1 0.500 0.500 0.000
H1 0.000 0.000 0.500
Rh1 0.000 0.500 0.500
```

Summary:
For the uncorrected energy, the calculation gives -6.630 eV per atom. For the total moment, the calculation gives 0.00 μB/cell.



8.
# As2Pb

An optimized crystal structure of As2Pb (PBE, Alexandria via LeMat-Bulk).

```
data_As2Pb
_symmetry_space_group_name_H-M 'F m -3 m'
_symmetry_Int_Tables_number 225
_symmetry_space_group_name_Hall '-F 4 2 3'
_cell_length_a 6.951
_cell_length_b 6.951
_cell_length_c 6.951
_cell_angle_alpha 90.00
_cell_angle_beta 90.00
_cell_angle_gamma 90.00
loop_
_atom_site_label
_atom_site_fract_x
_atom_site_fract_y
_atom_site_fract_z
As1 0.250 0.250 0.250
Pb1 0.000 0.000 0.000
```

Summary:
For the uncorrected energy, the calculation gives -3.792 eV per atom. As for the offset from the most stable computed form: 492 meV/atom. The formation energy from the elements is 0.54 eV/atom. For the total moment, the calculation gives 0.00 μB/cell.